*a*
VASP calculation (PBE) on an optimized crystal structure of Ti2SeN.

Computed properties:
Its total moment is 0.000 μB per cell.

extended XYZ file:
```
4
Lattice="1.616 0.933 5.867 -1.616 0.933 5.867 0.000 -1.866 5.867" Properties=species:S:1:pos:R:3 pbc="T T T"
Ti 0.000 0.000 0.000
Ti 0.000 0.000 3.767
Se 0.000 0.000 7.740
N 0.000 0.000 10.721
```

---

*b*
VASP calculation (PBE) on an optimized crystal structure of Ti2SeN.

Computed properties:
Its total moment is 0.000 μB per cell.

extended XYZ file:
```
4
Lattice="0.000 2.964 2.964 2.964 0.000 2.964 2.964 2.964 0.000" Properties=species:S:1:pos:R:3 pbc="T T T"
Ti 1.482 1.482 1.482
Ti 4.446 4.446 4.446
Se 0.000 0.000 0.000
N 2.964 2.964 2.964
```

---

The structure with the least stability is *b*.

---

*a*
VASP calculation (PBE) on an optimized crystal structure of TiSe3N.

Computed properties:
Its total moment is 0.000 μB per cell.

extended XYZ file:
```
5
Lattice="4.376 0.000 0.000 0.000 4.376 0.000 0.000 0.000 4.376" Properties=species:S:1:pos:R:3 pbc="T T T"
Ti 0.000 0.000 0.000
Se 0.000 2.188 2.188
Se 2.188 0.000 2.188
Se 2.188 2.188 0.000
N 2.188 2.188 2.188
```

---

*b*
VASP calculation (PBE) on an optimized crystal structure of TiSe3N.

Computed properties:
Its total moment is 2.572 μB per cell.

extended XYZ file:
```
5
Lattice="4.951 0.000 0.000 0.000 4.951 0.000 0.000 0.000 4.951" Properties=species:S:1:pos:R:3 pbc="T T T"
Ti 0.000 0.000 0.000
Se 0.000 0.000 2.476
Se 0.000 2.476 0.000
Se 2.476 0.000 0.000
N 2.476 2.476 2.476
```

---

The structure with the least stability is *b*.

---

*a*
VASP calculation (PBE) on an optimized crystal structure of Ti2Se2N.

Computed properties:
Its total moment is 0.000 μB per cell.

extended XYZ file:
```
5
Lattice="-2.425 2.425 3.644 2.425 -2.425 3.644 2.425 2.425 -3.644" Properties=species:S:1:pos:R:3 pbc="T T T"
Ti 2.425 0.000 1.822
Ti 0.000 2.425 1.822
Se 0.000 0.000 1.269
Se 0.000 0.000 6.019
N 0.000 0.000 3.644
```

---

*b*
VASP calculation (PBE) on an optimized crystal structure of Ti2Se2N.

Computed properties:
Its total moment is 0.043 μB per cell.

extended XYZ file:
```
10
Lattice="7.002 0.000 0.000 0.000 7.002 0.000 0.000 0.000 3.230" Properties=species:S:1:pos:R:3 pbc="T T T"
Ti 1.063 2.438 0.000
Ti 2.438 5.939 0.000
Ti 4.564 1.063 0.000
Ti 5.939 4.564 0.000
Se 1.022 4.523 1.615
Se 2.479 1.022 1.615
Se 4.523 5.980 1.615
Se 5.980 2.479 1.615
N 0.000 0.000 1.615
N 3.501 3.501 1.615
```

---

The structure with the least stability is *a*.

---

*a*
VASP calculation (PBE) on an optimized crystal structure of Ti3SeN.

Computed properties:
Its total moment is 0.000 μB per cell.

extended XYZ file:
```
10
Lattice="1.576 -7.819 0.000 1.576 7.819 0.000 0.000 0.000 5.917" Properties=species:S:1:pos:R:3 pbc="T T T"
Ti 1.576 7.092 2.959
Ti 1.576 3.316 5.155
Ti 1.576 2.166 1.790
Ti 1.576 -2.166 4.749
Ti 1.576 -3.316 2.196
Ti 1.576 -7.092 0.000
Se 1.576 1.005 3.982
Se 1.576 -1.005 1.023
N 1.576 5.022 3.570
N 1.576 -5.022 0.612
```

---

*b*
VASP calculation (PBE) on an optimized crystal structure of Ti3SeN.

Computed properties:
Its total moment is 1.700 μB per cell.

extended XYZ file:
```
5
Lattice="4.132 0.000 0.000 0.000 4.132 0.000 0.000 0.000 4.132" Properties=species:S:1:pos:R:3 pbc="T T T"
Ti 0.000 0.000 2.066
Ti 0.000 2.066 0.000
Ti 2.066 0.000 0.000
Se 2.066 2.066 2.066
N 0.000 0.000 0.000
```

---

*c*
VASP calculation (PBE) on an optimized crystal structure of Ti3SeN.

Computed properties:
Its total moment is 0.000 μB per cell.

extended XYZ file:
```
10
Lattice="1.620 -5.340 0.000 1.620 5.340 0.000 0.000 0.000 7.868" Properties=species:S:1:pos:R:3 pbc="T T T"
Ti 1.620 4.804 5.901
Ti 1.620 1.340 4.364
Ti 1.620 1.340 7.437
Ti 1.620 -1.340 0.431
Ti 1.620 -1.340 3.503
Ti 1.620 -4.804 1.967
Se 1.620 2.565 1.967
Se 1.620 -2.565 5.901
N 0.000 0.000 0.000
N 0.000 0.000 3.934
```

---

The structure with the least stability is *b*.